KPm2AuSe4 (PBE-GGA, optimized geometry); SG = Cmcm; total magnetization = 0.000 μB per atom; raw formation energy = -1.460 eV per atom
1.0
4.255 0.000 0.000
-2.127 7.175 0.000
0.000 0.000 14.902
K Pm Au Se
2 4 2 8
direct
0.123 0.247 0.750 K
0.877 0.753 0.250 K
0.368 0.736 0.569 Pm
0.632 0.264 0.069 Pm
0.632 0.264 0.431 Pm
0.368 0.736 0.931 Pm
0.846 0.692 0.750 Au
0.154 0.308 0.250 Au
0.267 0.534 0.108 Se
0.733 0.466 0.608 Se
0.733 0.466 0.892 Se
0.267 0.534 0.392 Se
0.000 0.000 0.500 Se
0.000 0.000 0.000 Se
0.453 0.905 0.750 Se
0.547 0.095 0.250 Se

BeMoCl2 (PBE-GGA, optimized geometry); SG = I-4m2; DOS at the Fermi energy = 0.384 states/eV per atom; total magnetization = 0.614 μB per atom; raw formation energy = 0.721 eV per atom
1.0
-1.646 -5.381 -1.914
3.001 -4.017 -3.193
0.203 3.679 4.665
Be Mo Cl
1 1 2
direct
0.750 0.250 0.500 Be
0.500 0.500 0.000 Mo
0.000 0.000 0.000 Cl
0.250 0.750 0.500 Cl

Np2RuRh (PBE-GGA, optimized geometry); SG = P4/mmm; DOS at the Fermi energy = 2.053 states/eV per atom; total magnetization = 1.687 μB per atom; formation enthalpy at 0 K = -0.098 eV per atom
1.0
3.300 0.000 0.000
0.000 4.847 0.000
0.000 0.000 4.847
Np Ru Rh
2 1 1
direct
0.000 0.000 0.500 Np
0.000 0.500 0.000 Np
0.500 0.000 0.000 Ru
0.500 0.500 0.500 Rh

NaHfMg2 (PBE-GGA, optimized geometry); SG = I-42d; DOS at the Fermi energy = 1.375 states/eV per atom; total magnetization = 0.000 μB per atom; formation enthalpy at 0 K = 0.723 eV per atom
1.0
-1.822 6.496 -4.163
-7.538 -0.585 2.386
-4.022 4.755 1.632
Na Mg Hf
2 4 2
direct
0.500 0.500 0.000 Na
0.250 0.750 0.500 Na
0.612 0.125 0.250 Mg
0.138 0.625 0.250 Mg
0.375 0.388 0.750 Mg
0.875 0.862 0.750 Mg
0.000 0.000 0.000 Hf
0.750 0.250 0.500 Hf

CdFe2Re (PBE-GGA, optimized geometry); SG = Pmmm; DOS at the Fermi energy = 0.999 states/eV per atom; total magnetization = 0.901 μB per atom; formation enthalpy at 0 K = 0.324 eV per atom
1.0
-2.168 2.632 -1.295
-2.077 -1.810 -0.202
-3.727 -0.520 5.184
Cd Fe Re
1 2 1
direct
0.500 0.750 0.750 Cd
0.000 0.955 0.045 Fe
0.000 0.545 0.455 Fe
0.500 0.250 0.250 Re

KBeRh (PBE-GGA, optimized geometry); SG = P-6m2; DOS at the Fermi energy = 0.298 states/eV per atom; total magnetization = 0.000 μB per atom; formation enthalpy at 0 K = 0.274 eV per atom
1.0
3.726 0.000 0.000
-1.863 3.227 0.000
0.000 0.000 5.413
Be K Rh
1 1 1
direct
0.000 0.000 0.833 Be
0.667 0.333 0.333 K
0.333 0.667 0.833 Rh

SrZr2Te (PBE-GGA, optimized geometry); SG = Imm2; DOS at the Fermi energy = 1.156 states/eV per atom; total magnetization = 0.000 μB per atom; raw formation energy = 0.005 eV per atom
1.0
-4.756 3.172 2.830
-5.504 -3.164 0.614
6.200 0.304 1.466
Sr Te Zr
1 1 2
direct
0.489 0.489 0.000 Sr
0.227 0.727 0.500 Te
0.012 0.012 0.000 Zr
0.773 0.273 0.500 Zr

Sm6TeC2 (PBE-GGA, optimized geometry); SG = C2/c; DOS at the Fermi energy = 0.770 states/eV per atom; total magnetization = 0.000 μB per atom; raw formation energy = -0.214 eV per atom
1.0
6.976 -0.262 -0.253
1.669 8.601 1.657
1.669 1.934 8.543
Sm Te C
12 2 4
direct
0.595 0.667 0.604 Sm
0.905 0.396 0.333 Sm
0.405 0.333 0.396 Sm
0.095 0.604 0.667 Sm
0.827 0.027 0.370 Sm
0.673 0.630 0.973 Sm
0.173 0.973 0.630 Sm
0.327 0.370 0.027 Sm
0.166 0.753 0.027 Sm
0.334 0.973 0.247 Sm
0.834 0.247 0.973 Sm
0.666 0.027 0.753 Sm
0.250 0.172 0.828 Te
0.750 0.828 0.172 Te
0.348 0.660 0.824 C
0.152 0.176 0.340 C
0.652 0.340 0.176 C
0.848 0.824 0.660 C

LaTbHo4 (PBE-GGA, optimized geometry); SG = P2_1/m; DOS at the Fermi energy = 1.570 states/eV per atom; total magnetization = 0.000 μB per atom; formation enthalpy at 0 K = 0.067 eV per atom
1.0
0.613 4.257 -3.731
-9.713 -5.465 0.721
-2.208 4.564 4.846
La Tb Ho
2 2 8
direct
0.703 0.419 0.750 La
0.297 0.581 0.250 La
0.644 0.918 0.750 Tb
0.356 0.082 0.250 Tb
0.363 0.585 0.750 Ho
0.637 0.415 0.250 Ho
0.306 0.081 0.750 Ho
0.694 0.919 0.250 Ho
0.007 0.758 0.997 Ho
0.993 0.242 0.497 Ho
0.007 0.758 0.503 Ho
0.993 0.242 0.003 Ho

La3Th4Te8 (PBE-GGA, optimized geometry); SG = C2/m; DOS at the Fermi energy = 0.694 states/eV per atom; total magnetization = 0.000 μB per atom; raw formation energy = -1.295 eV per atom
1.0
1.470 5.231 -7.089
6.635 -5.132 3.204
-5.224 -7.257 -0.824
La Th Te
3 4 8
direct
0.500 0.500 0.000 La
0.500 0.000 0.500 La
0.500 0.500 0.500 La
0.500 0.000 0.000 Th
0.000 0.500 0.000 Th
0.000 0.000 0.000 Th
0.000 0.000 0.500 Th
0.512 0.254 0.254 Te
0.000 0.743 0.257 Te
0.997 0.257 0.257 Te
0.500 0.751 0.249 Te
0.500 0.249 0.751 Te
0.003 0.743 0.743 Te
0.000 0.257 0.743 Te
0.488 0.746 0.746 Te

ScBe2Cu5 (PBE-GGA, optimized geometry); SG = Immm; DOS at the Fermi energy = 0.406 states/eV per atom; total magnetization = 0.000 μB per atom; formation enthalpy at 0 K = -0.082 eV per atom
1.0
3.386 0.000 0.000
1.693 5.532 0.205
1.693 1.217 5.401
Sc Be Cu
1 2 5
direct
0.000 0.000 0.000 Sc
0.744 0.756 0.756 Be
0.256 0.244 0.244 Be
0.000 0.500 0.500 Cu
0.650 0.544 0.157 Cu
0.350 0.456 0.843 Cu
0.350 0.843 0.456 Cu
0.650 0.157 0.544 Cu

CsK2Bi3O8 (PBE-GGA, optimized geometry); SG = R3m; DOS at the Fermi energy = 0.056 states/eV per atom; total magnetization = 0.000 μB per atom; raw formation energy = -1.153 eV per atom
1.0
7.041 0.000 0.000
3.521 6.097 0.000
3.520 2.033 6.684
Cs K Bi O
1 2 3 8
direct
0.870 0.870 0.391 Cs
0.117 0.117 0.650 K
0.501 0.501 0.498 K
0.500 0.001 0.999 Bi
0.001 0.500 0.999 Bi
0.500 0.500 0.999 Bi
0.273 0.273 0.180 O
0.724 0.724 0.827 O
0.246 0.246 0.829 O
0.679 0.246 0.829 O
0.246 0.679 0.829 O
0.755 0.327 0.164 O
0.327 0.755 0.164 O
0.755 0.755 0.164 O